Below is an optimized crystal structure of La4PrIn3, with properties calculated at the PBE level.

Computed properties:
energy of formation	-0.339	eV/atom
volume	505	Å³/cell

```
La4PrIn3
1.0
11.6079 0.0000 0.0000
0.0000 7.2422 0.0000
0.0000 0.0000 6.0082
La Pr In
8 2 6
Cartesian
0.0000 1.7462 0.0000 La
0.0000 5.4961 0.0000 La
2.9020 1.7279 2.3727 La
2.9020 5.5143 2.3727 La
5.8039 1.7462 0.0000 La
5.8039 5.4961 0.0000 La
8.7059 1.7279 3.6355 La
8.7059 5.5143 3.6355 La
0.0000 3.6211 3.0041 Pr
5.8039 3.6211 3.0041 Pr
0.0000 0.0000 3.0041 In
2.9020 0.0000 5.3166 In
2.9020 3.6211 5.2849 In
5.8039 0.0000 3.0041 In
8.7059 0.0000 0.6916 In
8.7059 3.6211 0.7233 In
```